A relaxed Pr2FeOsO8 crystal. Source: Alexandria, functional PBE with a Hubbard U.

Output
Space group   P-1
VASP energy   -7.469 eV/atom
Magnetization   4.0 μB/cell

Lattice parameters (Å, degrees): 5.1288 4.5884 7.0867 88.97 87.78 95.00
Closest atoms and distances in Å follow each position.
Element x y z (fractional)
O1 0.7297 0.1429 0.1644  1 Os 1.94
O2 0.2703 0.8571 0.8356  1 Os 1.94
O3 0.2264 0.3210 0.0436  1 Os 1.83
O4 0.7736 0.6790 0.9564  1 Os 1.83
O5 0.1022 0.8215 0.2372  1 Os 1.97, 1 Fe 2.11
O6 0.7137 0.7236 0.5320  1 Fe 1.86
O7 0.8978 0.1785 0.7628  1 Os 1.97, 1 Fe 2.11
O8 0.2863 0.2764 0.4680  1 Fe 1.86
Fe1 0.0000 0.0000 0.5000  2 O 1.86
Pr1 0.5186 0.6122 0.2490  6 O 2.32-2.56
Pr2 0.4814 0.3878 0.7510  6 O 2.32-2.56
Os1 0.0000 0.0000 0.0000  6 O 1.83-1.97